Record 1
VASP calculation (PBE-GGA) on crystalline BaPt2Rh at its relaxed geometry.

Cell: 4.418 4.418 8.292 Å, 90.00 90.00 90.00°
Space group I-4m2 (No. 119)
Asymmetric unit:
Ba1 0.000 0.000 0.000 (multiplicity 2)
Pt1 0.000 0.000 0.500 (multiplicity 2)
Pt2 0.000 0.500 0.750 (multiplicity 2)
Rh1 0.000 0.500 0.250 (multiplicity 2)

- DFT formation energy: 0.197 eV per atom
- V: 20.23 Å³/atom
- Calculated total energy: -20.57 eV per formula unit
- Magnetization: 0.39 μB/f.u.
- DOS(E_F): 1.740 states/eV per atom

***

Record 2
VASP calculation (PBE-GGA) on crystalline BaPt2Rh at its relaxed geometry.

Cell: 3.018 4.435 6.434 Å, 90.00 93.60 90.00°
Space group Pm (No. 6)
Asymmetric unit:
Ba1 0.000 0.000 0.000 (multiplicity 1)
Pt1 0.540 0.500 0.273 (multiplicity 1)
Pt2 0.558 0.000 0.534 (multiplicity 1)
Rh1 0.084 0.500 0.620 (multiplicity 1)

- DFT formation energy: 0.017 eV per atom
- V: 21.48 Å³/atom
- Calculated total energy: -21.29 eV per formula unit
- Magnetization: 0.00 μB/f.u.
- DOS(E_F): 1.161 states/eV per atom

***

Record 3
VASP calculation (PBE-GGA) on crystalline BaPt2Rh at its relaxed geometry.

Cell: 2.989 3.778 7.335 Å, 90.00 90.11 90.00°
Space group P2/m (No. 10)
Asymmetric unit:
Ba1 0.000 0.000 0.000 (multiplicity 1)
Pt1 0.499 0.500 0.315 (multiplicity 2)
Rh1 0.000 0.000 0.500 (multiplicity 1)

- DFT formation energy: -0.032 eV per atom
- V: 20.70 Å³/atom
- Calculated total energy: -21.48 eV per formula unit
- Magnetization: 0.00 μB/f.u.
- DOS(E_F): 1.307 states/eV per atom

***

Record 4
VASP calculation (PBE-GGA) on crystalline BaPt2Rh2 at its relaxed geometry.

Cell: 8.020 8.020 2.922 Å, 90.00 90.00 90.00°
Space group P4/mbm (No. 127)
Asymmetric unit:
Ba1 0.000 0.000 0.000 (multiplicity 2)
Pt1 0.179 0.321 0.500 (multiplicity 4)
Rh1 0.118 0.618 0.000 (multiplicity 4)

- DFT formation energy: -0.019 eV per atom
- V: 18.79 Å³/atom
- Calculated total energy: -28.80 eV per formula unit
- Magnetization: 0.01 μB/f.u.
- ΔE to the lowest computed polymorph: 0.041 eV per atom
- DOS(E_F): 2.228 states/eV per atom